Entry 1:
Below is a relaxed Ti3TlN crystal, with properties calculated at the PBE level.

Unit cell a=9.998 b=4.175 c=8.235 alpha=90.00 beta=115.48 gamma=90.00
Space group C2/m (No. 12)
Unique sites:
Ti1 0.111 0.000 0.179 [4 per cell]
Ti2 0.134 0.000 0.687 [4 per cell]
Ti3 0.148 0.500 0.947 [4 per cell]
Tl1 0.112 0.500 0.423 [4 per cell]
N1 0.120 0.000 0.931 [4 per cell]

Summary:
V (A^3/atom): 15.5


Entry 2:
Below is a relaxed TiTlN3 crystal, with properties calculated at the PBE level.

Unit cell a=4.029 b=4.029 c=4.029 alpha=90.00 beta=90.00 gamma=90.00
Space group Pm-3m (No. 221)
Unique sites:
Ti1 0.000 0.000 0.000 [1 per cell]
Tl1 0.500 0.500 0.500 [1 per cell]
N1 0.000 0.000 0.500 [3 per cell]

Summary:
V (A^3/atom): 13.1


Entry 3:
Below is a relaxed Ti3TlN crystal, with properties calculated at the PBE level.

Unit cell a=4.214 b=4.214 c=4.214 alpha=90.00 beta=90.00 gamma=90.00
Space group Pm-3m (No. 221)
Unique sites:
Ti1 0.000 0.000 0.500 [3 per cell]
Tl1 0.500 0.500 0.500 [1 per cell]
N1 0.000 0.000 0.000 [1 per cell]

Summary:
V (A^3/atom): 15.0


Entry 4:
Below is a relaxed TiTl2N crystal, with properties calculated at the PBE level.

Unit cell a=7.203 b=7.203 c=5.851 alpha=90.00 beta=90.00 gamma=90.00
Space group I-42d (No. 122)
Unique sites:
Ti1 0.000 0.000 0.000 [4 per cell]
Tl1 0.195 0.250 0.625 [8 per cell]
N1 0.000 0.000 0.500 [4 per cell]

Summary:
V (A^3/atom): 19.0


Entry 5:
Below is a relaxed Ti3TlN crystal, with properties calculated at the PBE level.

Unit cell a=5.139 b=5.139 c=5.139 alpha=90.00 beta=90.00 gamma=90.00
Space group Pm-3m (No. 221)
Unique sites:
Ti1 0.000 0.000 0.500 [3 per cell]
Tl1 0.000 0.000 0.000 [1 per cell]
N1 0.500 0.500 0.500 [1 per cell]

Summary:
V (A^3/atom): 27.1


Entry 6:
Below is a relaxed Ti7TlN2 crystal, with properties calculated at the PBE level.

Unit cell a=6.866 b=11.067 c=4.070 alpha=90.00 beta=90.00 gamma=90.00
Space group Cmmm (No. 65)
Unique sites:
Ti1 0.000 0.000 0.000 [2 per cell]
Ti2 0.000 0.220 0.500 [4 per cell]
Ti3 0.206 0.362 0.000 [8 per cell]
Tl1 0.000 0.500 0.500 [2 per cell]
N1 0.000 0.205 0.000 [4 per cell]

Summary:
V (A^3/atom): 15.5


Entry 7:
Below is a relaxed TiTlN2 crystal, with properties calculated at the PBE level.

Unit cell a=5.779 b=5.779 c=5.779 alpha=90.00 beta=90.00 gamma=90.00
Space group Fm-3m (No. 225)
Unique sites:
Ti1 0.000 0.000 0.000 [4 per cell]
Tl1 0.000 0.000 0.500 [4 per cell]
N1 0.250 0.250 0.250 [8 per cell]

Summary:
V (A^3/atom): 12.1


Entry 8:
Below is a relaxed Ti2TlN crystal, with properties calculated at the PBE level.

Unit cell a=6.313 b=6.313 c=6.313 alpha=90.00 beta=90.00 gamma=90.00
Space group Fm-3m (No. 225)
Unique sites:
Ti1 0.250 0.250 0.250 [8 per cell]
Tl1 0.000 0.000 0.000 [4 per cell]
N1 0.000 0.000 0.500 [4 per cell]

Summary:
V (A^3/atom): 15.7


Entry 9:
Below is a relaxed Ti2TlN crystal, with properties calculated at the PBE level.

Unit cell a=6.269 b=6.269 c=6.997 alpha=90.00 beta=90.00 gamma=90.00
Space group I-42d (No. 122)
Unique sites:
Ti1 0.128 0.250 0.125 [8 per cell]
Tl1 0.000 0.000 0.500 [4 per cell]
N1 0.000 0.000 0.000 [4 per cell]

Summary:
V (A^3/atom): 17.2


Entry 10:
Below is a relaxed Ti5TlN crystal, with properties calculated at the PBE level.

Unit cell a=3.891 b=3.891 c=7.136 alpha=90.00 beta=90.00 gamma=90.00
Space group P4/mmm (No. 123)
Unique sites:
Ti1 0.000 0.000 0.000 [1 per cell]
Ti2 0.000 0.500 0.318 [4 per cell]
Tl1 0.500 0.500 0.000 [1 per cell]
N1 0.500 0.500 0.500 [1 per cell]

Summary:
V (A^3/atom): 15.4


Entry 11:
Below is a relaxed YTi2TlN crystal, with properties calculated at the PBE level.

Unit cell a=4.283 b=4.283 c=4.785 alpha=90.00 beta=90.00 gamma=90.00
Space group P4/mmm (No. 123)
Unique sites:
Y1 0.000 0.000 0.000 [1 per cell]
Ti1 0.000 0.500 0.500 [2 per cell]
Tl1 0.500 0.500 0.000 [1 per cell]
N1 0.000 0.000 0.500 [1 per cell]

Summary:
V (A^3/atom): 17.6


Entry 12:
Below is a relaxed ZrTi2TlN crystal, with properties calculated at the PBE level.

Unit cell a=4.832 b=4.832 c=5.655 alpha=90.00 beta=90.00 gamma=90.00
Space group P4/mmm (No. 123)
Unique sites:
Zr1 0.000 0.000 0.000 [1 per cell]
Ti1 0.000 0.500 0.000 [2 per cell]
Tl1 0.000 0.000 0.500 [1 per cell]
N1 0.500 0.500 0.500 [1 per cell]

Summary:
V (A^3/atom): 26.4


Entry 13:
Below is a relaxed Zr2TiTlN crystal, with properties calculated at the PBE level.

Unit cell a=4.624 b=4.624 c=4.095 alpha=90.00 beta=90.00 gamma=90.00
Space group P4/mmm (No. 123)
Unique sites:
Zr1 0.000 0.500 0.000 [2 per cell]
Ti1 0.000 0.000 0.500 [1 per cell]
Tl1 0.500 0.500 0.500 [1 per cell]
N1 0.000 0.000 0.000 [1 per cell]

Summary:
V (A^3/atom): 17.5


Entry 14:
Below is a relaxed ZrTi2TlN crystal, with properties calculated at the PBE level.

Unit cell a=4.198 b=4.198 c=4.627 alpha=90.00 beta=90.00 gamma=90.00
Space group P4/mmm (No. 123)
Unique sites:
Zr1 0.000 0.000 0.000 [1 per cell]
Ti1 0.000 0.500 0.500 [2 per cell]
Tl1 0.500 0.500 0.000 [1 per cell]
N1 0.000 0.000 0.500 [1 per cell]

Summary:
V (A^3/atom): 16.3


Entry 15:
Below is a relaxed TmTiN crystal, with properties calculated at the PBE level.

Unit cell a=3.2226 b=3.2226 c=5.3049 alpha=90.00 beta=90.00 gamma=120.00
Space group P3m1 (No. 156)
Unique sites:
Tm1 0.0000 0.0000 0.0000 [1 per cell]
Ti1 0.6667 0.3333 0.4614 [1 per cell]
N1 0.3333 0.6667 0.2688 [1 per cell]

Summary:
V (A^3/atom): 15.9


Entry 16:
Below is a relaxed TmTi4N6 crystal, with properties calculated at the PBE level.

Unit cell a=3.016 b=9.967 c=15.406 alpha=90.00 beta=90.00 gamma=90.00
Space group Cmcm (No. 63)
Unique sites:
Tm1 0.000 0.151 0.250 [4 per cell]
Ti1 0.000 0.107 0.634 [8 per cell]
Ti2 0.000 0.370 0.549 [8 per cell]
N1 0.000 0.000 0.000 [4 per cell]
N2 0.000 0.176 0.750 [4 per cell]
N3 0.000 0.268 0.084 [8 per cell]
N4 0.000 0.465 0.658 [8 per cell]

Summary:
V (A^3/atom): 10.5


Entry 17:
Below is a relaxed TmTiN crystal, with properties calculated at the PBE level.

Unit cell a=2.873 b=2.873 c=10.731 alpha=90.00 beta=90.00 gamma=90.00
Space group I4mm (No. 107)
Unique sites:
Tm1 0.000 0.000 0.000 [2 per cell]
Ti1 0.000 0.000 0.752 [2 per cell]
N1 0.000 0.000 0.353 [2 per cell]

Summary:
V (A^3/atom): 14.8


Entry 18:
Below is a relaxed Tm3Ti5N12 crystal, with properties calculated at the PBE level.

Unit cell a=12.577 b=12.577 c=12.577 alpha=90.00 beta=90.00 gamma=90.00
Space group Ia-3d (No. 230)
Unique sites:
Tm1 0.000 0.250 0.125 [24 per cell]
Ti1 0.000 0.000 0.000 [16 per cell]
Ti2 0.000 0.250 0.375 [24 per cell]
N1 0.028 0.060 0.650 [96 per cell]

Summary:
V (A^3/atom): 12.4


Entry 19:
Below is a relaxed TmTiN crystal, with properties calculated at the PBE level.

Unit cell a=10.203 b=5.608 c=7.512 alpha=90.00 beta=90.00 gamma=90.00
Space group Cmce (No. 64)
Unique sites:
Tm1 0.165 0.000 0.000 [8 per cell]
Ti1 0.000 0.095 0.331 [8 per cell]
N1 0.000 0.241 0.580 [8 per cell]

Summary:
V (A^3/atom): 17.9


Entry 20:
Below is a relaxed YTmTiN3 crystal, with properties calculated at the PBE level.

Unit cell a=6.471 b=3.255 c=9.108 alpha=90.00 beta=92.35 gamma=90.00
Space group P2_1/m (No. 11)
Unique sites:
Y1 0.177 0.250 0.235 [2 per cell]
Tm1 0.346 0.750 0.883 [2 per cell]
Ti1 0.140 0.250 0.575 [2 per cell]
N1 0.122 0.250 0.790 [2 per cell]
N2 0.184 0.750 0.456 [2 per cell]
N3 0.387 0.750 0.128 [2 per cell]

Summary:
V (A^3/atom): 16.0


Entry 21:
Below is a relaxed TmZr2TiN4 crystal, with properties calculated at the PBE level.

Unit cell a=5.608 b=3.231 c=5.610 alpha=90.00 beta=109.27 gamma=90.00
Space group P2/m (No. 10)
Unique sites:
Tm1 0.000 0.000 0.000 [1 per cell]
Zr1 0.500 0.000 0.500 [1 per cell]
Zr2 0.500 0.500 0.000 [1 per cell]
Ti1 0.000 0.500 0.500 [1 per cell]
N1 0.243 0.000 0.738 [2 per cell]
N2 0.252 0.500 0.260 [2 per cell]

Summary:
V (A^3/atom): 12.0


Number 1: formation energy from raw total energies -726 meV per atom. Number 2: formation energy from raw total energies 640 meV per atom. Number 3: formation energy from raw total energies -755 meV per atom. Number 4: formation energy from raw total energies 842 meV per atom. Number 5: formation energy from raw total energies 2180 meV per atom. Number 6: formation energy from raw total energies -453 meV per atom. Number 7: formation energy from raw total energies 903 meV per atom. Number 8: formation energy from raw total energies 755 meV per atom. Number 9: formation energy from raw total energies -467 meV per atom. Number 10: formation energy from raw total energies -172 meV per atom. Number 11: formation energy from raw total energies -721 meV per atom. Number 12: formation energy from raw total energies 2029 meV per atom. Number 13: formation energy from raw total energies -766 meV per atom. Number 14: formation energy from raw total energies -751 meV per atom. Number 15: formation energy from raw total energies -1044 meV per atom. Number 16: formation energy from raw total energies -1595 meV per atom. Number 17: formation energy from raw total energies -339 meV per atom. Number 18: formation energy from raw total energies -793 meV per atom. Number 19: formation energy from raw total energies -770 meV per atom. Number 20: formation energy from raw total energies -1396 meV per atom. Number 21: formation energy from raw total energies -1672 meV per atom.